{
  "formula": "AcErOs4",
  "functional": "PBE-GGA",
  "state": "optimized geometry",
  "e_form_mev_per_atom": 11.4,
  "space_group": "No. 216",
  "cell": [[0.000, 3.865, 3.865], [3.865, 0.000, 3.865], [3.865, 3.865, 0.000]],
  "species": ["Ac", "Er", "Os", "Os", "Os", "Os"],
  "frac_coords": [[0.000, 0.000, 0.000], [0.750, 0.750, 0.750], [0.376, 0.376, 0.376], [0.376, 0.376, 0.873], [0.376, 0.873, 0.376], [0.873, 0.376, 0.376]]
}